First-principles (PBE) data for a relaxed Ca2CeGa crystal, as listed in Alexandria.

- Fermi-level density of states: 1.7664 states/eV/atom
- Total moment: 1.49 μB/f.u.
- Energy: -3.16 eV/atom

Structure (CIF):
```
data_Ca2CeGa
_chemical_formula_sum 'Ca6 Ce3 Ga3'
_cell_length_a 3.5207
_cell_length_b 3.5207
_cell_length_c 34.9842
_cell_angle_alpha 90.00
_cell_angle_beta 90.00
_cell_angle_gamma 120.00
_space_group_name_H-M_alt 'R -3 m'
_space_group_IT_number 166
_space_group_name_Hall '-R 3 2"'
loop_
_atom_site_label
_atom_site_fract_x
_atom_site_fract_y
_atom_site_fract_z
Ca1 0.0000 0.0000 0.0998
Ce1 0.0000 0.0000 0.0000
Ga1 0.0000 0.0000 0.5000
```